[1]
Entry from the Alexandria database: an optimized crystal structure of Mn2CdCo (PBE).

- ΔH_f (0 K) (eV per formula unit) = 1.22
- total magnetic moment (μB/f.u.) = 8.56

Unit cell a=4.1189 b=4.1189 c=3.4884 alpha=90.01 beta=90.01 gamma=89.97
Last column: magnetic moment on the atom in μB.
Element x y z (fractional)
Mn 0.5000 0.5000 0.0000  3.44
Mn 0.0000 0.0000 0.0000  3.44
Co 0.0000 0.5000 0.5000  1.59
Cd 0.5000 0.0000 0.5000  -0.06

[2]
Entry from the Alexandria database: an optimized crystal structure of PmSm2Y3Tm6 (PBE).

- ΔH_f (0 K) (eV per formula unit) = 0.30
- total magnetic moment (μB/f.u.) = 0.00

Unit cell a=6.1477 b=6.1477 c=11.7129 alpha=95.01 beta=95.01 gamma=119.95
Element x y z (fractional)
Tm 0.9155 0.5821 0.7488
Tm 0.2489 0.2489 0.7488
Tm 0.0845 0.4179 0.2512
Tm 0.4179 0.0845 0.2512
Tm 0.5821 0.9155 0.7488
Tm 0.7511 0.7511 0.2512
Sm 0.3334 0.6666 0.0000
Sm 0.6666 0.3334 0.0000
Y 0.8333 0.1667 0.5000
Y 0.1667 0.8333 0.5000
Y 0.5000 0.5000 0.5000
Pm 0.0000 0.0000 0.0000

[3]
Entry from the Alexandria database: an optimized crystal structure of AcLaAg10 (PBE).

- ΔH_f (0 K) (eV per formula unit) = -1.88
- total magnetic moment (μB/f.u.) = 0.00

Unit cell a=4.7665 b=5.6817 c=9.8453 alpha=90.00 beta=90.00 gamma=90.00
Element x y z (fractional)
Ag 0.0000 0.5000 0.8377
Ag 0.5000 0.2492 0.2483
Ag 0.0000 0.5000 0.1623
Ag 0.5000 0.7508 0.7517
Ag 0.5000 0.2492 0.7517
Ag 0.5000 0.7508 0.2483
Ag 0.0000 0.0000 0.6709
Ag 0.5000 0.5000 0.0000
Ag 0.0000 0.0000 0.3291
Ag 0.5000 0.0000 0.5000
La 0.0000 0.0000 0.0000
Ac 0.0000 0.5000 0.5000

[4]
Entry from the Alexandria database: an optimized crystal structure of TlAgPO2 (PBE).

- ΔE_f (raw) (eV per formula unit) = 2.2
- total magnetic moment (μB/f.u.) = 0.00

Unit cell a=4.1097 b=4.9894 c=4.1097 alpha=90.00 beta=90.00 gamma=90.00
Element x y z (fractional)
O 0.5000 0.0000 0.0000
O 0.0000 0.0000 0.5000
Tl 0.5000 0.5000 0.5000
Ag 0.0000 0.0000 0.0000
P 0.0000 0.5000 0.0000

[5]
Entry from the Alexandria database: an optimized crystal structure of Sm2CdPb3 (PBE).

- ΔH_f (0 K) (eV per formula unit) = -1.12
- total magnetic moment (μB/f.u.) = 0.00

Unit cell a=3.5443 b=5.8281 c=9.6167 alpha=107.64 beta=100.62 gamma=90.00
Element x y z (fractional)
Sm 0.3445 0.3445 0.6889
Sm 0.6555 0.6555 0.3111
Pb 0.1661 0.1661 0.3322
Pb 0.8339 0.8339 0.6678
Pb 0.0000 0.5000 0.0000
Cd 0.0000 0.0000 0.0000

[6]
Entry from the Alexandria database: an optimized crystal structure of NbAlH (PBE).

- total DFT energy (no corrections) (eV per atom) = -5.960
- total magnetic moment (μB/f.u.) = 0.00

Unit cell a=4.4089 b=3.1172 c=3.1172 alpha=120.00 beta=90.00 gamma=90.00
Element x y z (fractional)
H 0.2783 0.6667 0.3333
Al 0.6182 0.3333 0.6667
Nb 0.1035 0.0000 0.0000

[7]
Entry from the Alexandria database: an optimized crystal structure of Y2ZrCu (PBE).

- ΔH_f (0 K) (eV per formula unit) = 1.20
- total magnetic moment (μB/f.u.) = 0.00

Unit cell a=5.1129 b=5.1129 c=5.1129 alpha=60.00 beta=60.00 gamma=60.00
Element x y z (fractional)
Y 0.7500 0.7500 0.7500
Y 0.0000 0.0000 0.0000
Zr 0.2500 0.2500 0.2500
Cu 0.5000 0.5000 0.5000

[8]
Entry from the Alexandria database: an optimized crystal structure of HoTi2C (PBE).

- ΔH_f (0 K) (eV per formula unit) = -0.98
- total magnetic moment (μB/f.u.) = 0.00

Unit cell a=3.1349 b=3.1349 c=8.5625 alpha=79.45 beta=79.45 gamma=60.00
Element x y z (fractional)
Ti 0.1225 0.1225 0.6325
Ti 0.8775 0.8775 0.3675
C 0.5000 0.5000 0.5000
Ho 0.0000 0.0000 0.0000

[9]
Entry from the Alexandria database: an optimized crystal structure of Sr3Ag2Pd3 (PBE).

- ΔH_f (0 K) (eV per formula unit) = -2.98
- total magnetic moment (μB/f.u.) = 0.00

Unit cell a=4.4126 b=5.7727 c=16.6647 alpha=90.00 beta=90.00 gamma=112.47
Element x y z (fractional)
Pd 0.9363 0.8726 0.0879
Pd 0.8452 0.6903 0.2500
Pd 0.0637 0.1274 0.5879
Pd 0.9363 0.8726 0.4121
Pd 0.0637 0.1274 0.9121
Pd 0.1548 0.3097 0.7500
Ag 0.2950 0.5899 0.3464
Ag 0.2950 0.5899 0.1536
Ag 0.7050 0.4101 0.8464
Ag 0.7050 0.4101 0.6536
Sr 0.6403 0.2806 0.4535
Sr 0.4444 0.8889 0.7500
Sr 0.3597 0.7194 0.9535
Sr 0.5556 0.1111 0.2500
Sr 0.6403 0.2806 0.0465
Sr 0.3597 0.7194 0.5465

[10]
Entry from the Alexandria database: an optimized crystal structure of Cr2CdRh (PBE).

- ΔH_f (0 K) (eV per formula unit) = 1.80
- total magnetic moment (μB/f.u.) = 2.02

Unit cell a=5.9313 b=4.8294 c=2.6988 alpha=89.96 beta=63.01 gamma=119.16
Last column: magnetic moment on the atom in μB.
Element x y z (fractional)
Rh 0.0000 0.5000 0.5000  0.04
Cr 0.0000 0.0000 0.0000  0.95
Cr 0.5000 0.0000 0.5000  0.95
Cd 0.5000 0.5000 0.0000  -0.01

[11]
Entry from the Alexandria database: an optimized crystal structure of Y2MoRh (PBE).

- ΔH_f (0 K) (eV per formula unit) = -0.25
- total magnetic moment (μB/f.u.) = 0.00

Unit cell a=5.9389 b=5.9389 c=4.7847 alpha=66.25 beta=66.25 gamma=33.56
Element x y z (fractional)
Y 0.9855 0.9855 0.0147
Y 0.7610 0.7610 0.7389
Mo 0.5234 0.5234 0.4769
Rh 0.2301 0.2301 0.2695

[12]
Entry from the Alexandria database: an optimized crystal structure of KLa3Hf (PBE).

- ΔH_f (0 K) (eV per formula unit) = 6.61
- total magnetic moment (μB/f.u.) = 0.00

Unit cell a=5.5429 b=5.5429 c=5.5429 alpha=90.00 beta=90.00 gamma=90.00
Element x y z (fractional)
La 0.5000 0.0000 0.0000
La 0.0000 0.0000 0.5000
La 0.0000 0.5000 0.0000
K 0.0000 0.0000 0.0000
Hf 0.5000 0.5000 0.5000